Computed, not measured: a relaxed Tc2TeOs crystal at the PBE level of DFT.

Output
Formation energy from raw total energies = 420.2 meV/atom

a b c (Å): 3.002 3.002 7.125
angles (deg): 90.00 90.00 90.00
Space group P4/mmm (No. 123)
Unique sites:
1 Tc 0.000 0.000 0.242
2 Te 0.500 0.500 0.500
3 Os 0.500 0.500 0.000